Here is Mg2ZrAu at its PBEsol-relaxed geometry from Alexandria. Energies are from meta-GGA SCAN.

## Properties
* ΔH_f (0 K): -404.5 meV per atom
* energy: -27.855 eV per atom
* total magnetic moment: 0.000 μB/atom
* excess energy over the best structure of this formula in the dataset: 0.000 eV/atom
* density: 7.22 g cm⁻³

```
data_Mg2ZrAu
_chemical_formula_sum 'Mg2 Zr1 Au1'
_space_group_name_H-M_alt 'P 1'
_space_group_IT_number 1
_space_group_name_Hall 'P 1'
_cell_length_a 3.923
_cell_length_b 4.344
_cell_length_c 4.549
_cell_angle_alpha 90.00
_cell_angle_beta 90.00
_cell_angle_gamma 90.00
loop_
_atom_site_label
_atom_site_type_symbol
_atom_site_fract_x
_atom_site_fract_y
_atom_site_fract_z
Au1 Au 0.000 0.500 0.500
Mg1 Mg 0.000 0.000 0.000
Mg2 Mg 0.500 0.500 0.000
Zr1 Zr 0.500 0.000 0.500
```

***

Here is Mg2ZrAu at its PBEsol-relaxed geometry from Alexandria. Energies are from meta-GGA SCAN.

## Properties
* ΔH_f (0 K): -218.5 meV per atom
* energy: -27.669 eV per atom
* total magnetic moment: 0.386 μB/atom
* excess energy over the best structure of this formula in the dataset: 0.186 eV/atom
* density: 7.18 g cm⁻³

```
data_Mg2ZrAu
_chemical_formula_sum 'Mg2 Zr1 Au1'
_space_group_name_H-M_alt 'P 1'
_space_group_IT_number 1
_space_group_name_Hall 'P 1'
_cell_length_a 4.301
_cell_length_b 4.301
_cell_length_c 5.194
_cell_angle_alpha 114.46
_cell_angle_beta 114.46
_cell_angle_gamma 90.00
loop_
_atom_site_label
_atom_site_type_symbol
_atom_site_fract_x
_atom_site_fract_y
_atom_site_fract_z
Au1 Au 0.000 0.000 0.000
Mg1 Mg 0.750 0.250 0.500
Mg2 Mg 0.250 0.750 0.500
Zr1 Zr 0.500 0.500 0.000
```